# 1
Zr2TiBi | Alexandria via LeMat-Bulk | GGA-PBE | optimized geometry; SG = P4/mmm (123); DOS(E_F) = 4.27 states/eV per cell; E = -7.38 eV per atom
1.0
-0.858 -1.209 3.425
-0.584 -3.428 -1.356
6.109 -1.445 1.020
Ti Bi Zr
1 1 2
Direct
0.500 0.500 0.000
0.500 0.500 0.500
0.000 0.000 0.757
0.000 0.000 0.243



# 2
Zr2TiBi | Alexandria via LeMat-Bulk | GGA-PBE | optimized geometry; SG = R3m (160); DOS(E_F) = 4.22 states/eV per cell; E = -7.17 eV per atom
1.0
-1.162 2.660 1.604
-1.815 -0.383 2.750
7.098 1.049 6.833
Zr Bi Ti
2 1 1
Direct
0.088 0.088 0.735
0.245 0.245 0.266
0.667 0.667 0.999
0.500 0.500 0.500



# 3
Zr2TiBi | Alexandria via LeMat-Bulk | GGA-PBE | optimized geometry; SG = R-3m (166); DOS(E_F) = 5.58 states/eV per cell; E = -6.94 eV per atom
1.0
-0.856 0.473 -3.070
-3.092 -0.260 -0.868
-2.777 10.642 0.723
Bi Ti Zr
1 1 2
Direct
0.000 0.000 0.000
0.500 0.500 0.500
0.094 0.094 0.717
0.906 0.906 0.283